Entry 1:
Computed, not measured: Zr2CdIr at its PBEsol-relaxed geometry at the meta-GGA SCAN level of DFT.

Unit cell a=3.296 b=3.296 c=7.063 alpha=90.00 beta=90.00 gamma=90.00
Fractional positions:
Ir 0.500 0.500 0.500
Zr 0.000 0.000 0.723
Zr 0.000 0.000 0.277
Cd 0.500 0.500 0.000

Total moment = 0.00 μB per formula unit
DFT total energy = -41.32 eV/atom
Energy of formation = -0.593 eV/atom

***

Entry 2:
Computed, not measured: Sr2MoAu at its PBEsol-relaxed geometry at the meta-GGA SCAN level of DFT.

Unit cell a=3.615 b=5.242 c=6.513 alpha=113.73 beta=106.11 gamma=90.00
Last column: magnetic moment on the atom in μB.
Fractional positions:
Au 0.533 0.533 0.066  0.10
Mo 0.204 0.704 0.409  2.64
Sr 0.986 0.986 0.972  -0.03
Sr 0.776 0.276 0.553  0.01

Total moment = 3.01 μB per formula unit
DFT total energy = -36.85 eV/atom
Energy of formation = 0.300 eV/atom
Offset from the most stable computed form = 0.1780 eV per atom

***

Entry 3:
Computed, not measured: Li2TaTl at its PBEsol-relaxed geometry at the meta-GGA SCAN level of DFT.

Unit cell a=3.420 b=4.329 c=4.329 alpha=90.00 beta=90.00 gamma=90.00
Fractional positions:
Li 0.000 0.000 0.500
Li 0.000 0.500 0.000
Ta 0.500 0.500 0.500
Tl 0.500 0.000 0.000

Total moment = 0.00 μB per formula unit
DFT total energy = -35.54 eV/atom
Energy of formation = 0.387 eV/atom

***

Entry 4:
Computed, not measured: Rb2WIN at its PBEsol-relaxed geometry at the meta-GGA SCAN level of DFT.

Unit cell a=5.463 b=6.911 c=6.911 alpha=90.00 beta=90.00 gamma=90.00
Last column: magnetic moment on the atom in μB.
Fractional positions:
I 0.500 0.000 0.000  0.01
Rb 0.000 0.000 0.500  0.01
Rb 0.000 0.500 0.000  0.01
W 0.000 0.000 0.000  2.93
N 0.500 0.500 0.500  1.47

Total moment = 6.53 μB per formula unit
Formation energy from raw total energies = 1641.7 meV per atom
DFT total energy = -29.80 eV/atom